Compound: Ti2ZnPt3
Source: the Alexandria database
Functional: GGA-PBE
Structure: relaxed

abc: 4.744 4.744 11.076
angles: 104.29 104.29 49.61
Element x y z (fractional)
Ti1 0.000 0.000 0.000
Ti2 0.000 0.000 0.500
Ti3 0.335 0.335 0.831
Ti4 0.665 0.665 0.169
Zn1 0.332 0.332 0.332
Zn2 0.668 0.668 0.668
Pt1 0.004 0.004 0.749
Pt2 0.334 0.334 0.082
Pt3 0.335 0.335 0.581
Pt4 0.665 0.665 0.419
Pt5 0.666 0.666 0.918
Pt6 0.996 0.996 0.251

Calculated values
Calculated density (kg/m³): 13565
E above lowest polymorph (eV/f.u.): 0.000
Calculated formation energy (eV per atom): -0.84

---

Compound: YSn2TeS
Source: the Alexandria database
Functional: GGA-PBE
Structure: relaxed

abc: 5.401 5.401 5.208
angles: 90.00 90.00 90.00
Element x y z (fractional)
Y1 0.000 0.000 0.000
Sn1 0.000 0.500 0.500
Sn2 0.500 0.000 0.500
Te1 0.500 0.500 0.000
S1 0.000 0.000 0.500

Calculated values
Calculated density (kg/m³): 5313
Energy relative to the elements, uncorrected (eV/atom): -0.260

---

- Which value of calculated density does entry 1 give?
  13565 kg/m³